[1]
# Sc2SbTe (meta-GGA SCAN, PBEsol geometry)
data_Sc2SbTe
_chemical_formula_sum 'Sc2 Sb1 Te1'
_cell_length_a 4.104
_cell_length_b 4.104
_cell_length_c 5.792
_cell_angle_alpha 90.00
_cell_angle_beta 90.00
_cell_angle_gamma 90.00
_space_group_name_H-M_alt 'P 1'
_space_group_IT_number 1
_space_group_name_Hall 'P 1'
loop_
_atom_site_label
_atom_site_type_symbol
_atom_site_fract_x
_atom_site_fract_y
_atom_site_fract_z
Te1 Te 0.000 0.000 0.374
Sb1 Sb 0.500 0.500 0.876
Sc1 Sc 0.500 0.500 0.376
Sc2 Sc 0.000 0.000 0.874
# ΔE to the lowest computed polymorph   8 meV/atom

[2]
# Li5Ni2P3O12 (meta-GGA SCAN, PBEsol geometry)
data_Li5Ni2P3O12
_chemical_formula_sum 'Li20 Ni8 P12 O48'
_cell_length_a 8.454
_cell_length_b 8.645
_cell_length_c 12.067
_cell_angle_alpha 90.00
_cell_angle_beta 90.56
_cell_angle_gamma 90.00
_space_group_name_H-M_alt 'P 1'
_space_group_IT_number 1
_space_group_name_Hall 'P 1'
loop_
_atom_site_label
_atom_site_type_symbol
_atom_site_fract_x
_atom_site_fract_y
_atom_site_fract_z
O1 O 0.911 0.262 0.943
O2 O 0.891 0.222 0.571
Li1 Li 0.050 0.273 0.065
O3 O 0.570 0.741 0.567
Ni1 Ni 0.496 0.953 0.862
O4 O 0.817 0.585 0.941
Li2 Li 0.821 0.523 0.103
O5 O 0.806 0.867 0.198
P1 P 0.145 0.893 0.400
Li3 Li 0.324 0.981 0.602
O6 O 0.540 0.484 0.956
Li4 Li 0.845 0.664 0.724
O7 O 0.876 0.977 0.997
O8 O 0.366 0.516 0.493
O9 O 0.634 0.016 0.507
O10 O 0.046 0.677 0.804
O11 O 0.350 0.131 0.826
O12 O 0.194 0.367 0.802
Li5 Li 0.678 0.903 0.062
Li6 Li 0.178 0.595 0.560
Li7 Li 0.155 0.164 0.276
O13 O 0.032 0.542 0.191
Ni2 Ni 0.000 0.028 0.645
O14 O 0.089 0.762 0.057
O15 O 0.799 0.671 0.360
P2 P 0.356 0.396 0.397
P3 P 0.358 0.110 0.100
O16 O 0.430 0.241 0.433
O17 O 0.124 0.477 0.003
P4 P 0.855 0.393 0.600
O18 O 0.554 0.821 0.312
O19 O 0.460 0.984 0.044
O20 O 0.968 0.505 0.536
Li8 Li 0.676 0.481 0.398
Ni3 Ni 0.007 0.955 0.139
O21 O 0.650 0.631 0.174
Li9 Li 0.822 0.095 0.440
P5 P 0.644 0.896 0.603
O22 O 0.183 0.085 0.059
O23 O 0.320 0.611 0.121
O24 O 0.368 0.110 0.226
P6 P 0.138 0.599 0.096
O25 O 0.968 0.042 0.809
O26 O 0.840 0.364 0.333
O27 O 0.290 0.824 0.858
O28 O 0.109 0.722 0.429
Li10 Li 0.439 0.735 0.448
Ni4 Ni 0.993 0.455 0.861
O29 O 0.954 0.177 0.196
Ni5 Ni 0.503 0.541 0.642
Li11 Li 0.950 0.773 0.935
O30 O 0.632 0.610 0.774
O31 O 0.710 0.324 0.142
Li12 Li 0.322 0.403 0.938
P7 P 0.203 0.745 0.758
Li13 Li 0.372 0.776 0.009
Li14 Li 0.179 0.023 0.897
O32 O 0.178 0.361 0.369
Ni6 Ni 0.504 0.453 0.138
O33 O 0.408 0.272 0.057
Ni7 Ni 0.497 0.041 0.358
P8 P 0.642 0.610 0.900
Li15 Li 0.561 0.235 0.552
Li16 Li 0.408 0.687 0.245
O34 O 0.549 0.972 0.697
O35 O 0.032 0.005 0.464
O36 O 0.680 0.111 0.879
O37 O 0.160 0.864 0.667
O38 O 0.133 0.923 0.277
O39 O 0.317 0.926 0.442
O40 O 0.446 0.321 0.688
P9 P 0.862 0.099 0.904
O41 O 0.201 0.171 0.640
Li17 Li 0.896 0.731 0.499
O42 O 0.822 0.861 0.631
O43 O 0.300 0.622 0.700
Li18 Li 0.628 0.276 0.991
O44 O 0.700 0.122 0.300
O45 O 0.867 0.423 0.723
Li19 Li 0.104 0.231 0.501
Li20 Li 0.592 0.187 0.755
Ni8 Ni 0.000 0.528 0.355
O46 O 0.683 0.426 0.558
O47 O 0.592 0.772 0.943
P10 P 0.797 0.245 0.242
P11 P 0.709 0.750 0.262
P12 P 0.291 0.250 0.738
O48 O 0.451 0.472 0.303
# ΔE to the lowest computed polymorph   0 meV/atom

[3]
# InPb2 (meta-GGA SCAN, PBEsol geometry)
data_InPb2
_chemical_formula_sum 'In2 Pb4'
_cell_length_a 5.435
_cell_length_b 5.435
_cell_length_c 6.630
_cell_angle_alpha 90.00
_cell_angle_beta 90.00
_cell_angle_gamma 120.00
_space_group_name_H-M_alt 'P 1'
_space_group_IT_number 1
_space_group_name_Hall 'P 1'
loop_
_atom_site_label
_atom_site_type_symbol
_atom_site_fract_x
_atom_site_fract_y
_atom_site_fract_z
Pb1 Pb 0.000 0.000 0.000
Pb2 Pb 0.667 0.333 0.250
In1 In 0.333 0.667 0.250
Pb3 Pb 0.333 0.667 0.750
Pb4 Pb 0.000 0.000 0.500
In2 In 0.667 0.333 0.750
# Calculated formation energy   18.5 kJ/mol of formula units

Calculated DOS at the Fermi energy (states/eV per cell), listed in the same order as above: 1.69, 0.00, 2.76